Compound: Ac3Al8Ag3
Source: the Alexandria database
Functional: PBE-GGA
Structure: relaxed

Computed properties:
VASP energy	-3.922	eV per atom
total magnetic moment	0.0000	μB per atom
E_form	-0.29	eV per atom

Unit cell a=4.6087 b=8.7840 c=8.7567 alpha=72.29 beta=74.74 gamma=74.79
Closest atoms and distances in Å follow each position.
Atoms (fractional coordinates):
Al 0.6619 0.9685 0.7078  4 Al 2.70-2.85, 1 Ag 2.84
Al 0.1286 0.5903 0.1525  4 Ag 2.74-2.90, 2 Al 2.89
Al 0.5015 0.2861 0.7109  1 Ag 2.65, 5 Al 2.70-2.95
Al 0.3381 0.0315 0.2922  4 Al 2.70-2.85, 1 Ag 2.84
Al 0.8714 0.4097 0.8475  4 Ag 2.74-2.90, 2 Al 2.89
Al 0.8617 0.8632 0.4133  5 Al 2.77-2.95, 1 Ag 2.98
Al 0.1383 0.1368 0.5867  5 Al 2.77-2.95, 1 Ag 2.98
Al 0.4985 0.7139 0.2891  1 Ag 2.65, 5 Al 2.70-2.95
Ac 0.6935 0.3083 0.3048  9 Al 3.31-3.65, 5 Ag 3.34-3.69
Ac 0.3065 0.6917 0.6952  9 Al 3.31-3.65, 5 Ag 3.34-3.69
Ac 0.0000 0.0000 0.0000  12 Al 3.38-3.76, 4 Ag 3.51
Ag 0.3369 0.3073 0.0188  5 Al 2.65-2.90
Ag 0.6631 0.6927 0.9812  5 Al 2.65-2.90
Ag 0.0000 0.5000 0.5000  4 Al 2.84-2.98

=====

Compound: NiHBr3
Source: the Alexandria database
Functional: PBE-GGA
Structure: relaxed

Computed properties:
VASP energy	-1.911	eV per atom
total magnetic moment	0.4195	μB per atom

Unit cell a=4.6565 b=4.6565 c=4.6565 alpha=90.00 beta=90.00 gamma=90.00
Closest atoms and distances in Å follow each position.
Atoms (fractional coordinates):
Br 0.0000 0.5000 0.0000  2 H 2.33
Br 0.5000 0.0000 0.0000  2 H 2.33
Br 0.0000 0.0000 0.5000  2 H 2.33
H 0.0000 0.0000 0.0000  6 Br 2.33
Ni 0.5000 0.5000 0.5000  12 Br 3.29

=====

Compound: CrCd2Ni
Source: the Alexandria database
Functional: PBE-GGA
Structure: relaxed

Computed properties:
VASP energy	-4.102	eV per atom
total magnetic moment	0.8075	μB per atom
E_form	0.21	eV per atom

Unit cell a=3.0289 b=3.0289 c=7.3506 alpha=90.00 beta=90.00 gamma=90.00
Closest atoms and distances in Å follow each position.
Atoms (fractional coordinates):
Cd 0.0000 0.0000 0.9572  4 Ni 2.78, 1 Cr 3.00, 4 Cd 3.03
Cd 0.5000 0.5000 0.2787  4 Cr 2.92, 8 Cd 3.03-3.19, 1 Ni 3.21
Ni 0.5000 0.5000 0.7150  4 Cr 2.47
Cr 0.0000 0.0000 0.5490  4 Ni 2.47

=====

Copy entry 1 word for word.
Compound: Ac3Al8Ag3
Source: the Alexandria database
Functional: PBE-GGA
Structure: relaxed

Computed properties:
VASP energy	-3.922	eV per atom
total magnetic moment	0.0000	μB per atom
E_form	-0.29	eV per atom

Unit cell a=4.6087 b=8.7840 c=8.7567 alpha=72.29 beta=74.74 gamma=74.79
Closest atoms and distances in Å follow each position.
Atoms (fractional coordinates):
Al 0.6619 0.9685 0.7078  4 Al 2.70-2.85, 1 Ag 2.84
Al 0.1286 0.5903 0.1525  4 Ag 2.74-2.90, 2 Al 2.89
Al 0.5015 0.2861 0.7109  1 Ag 2.65, 5 Al 2.70-2.95
Al 0.3381 0.0315 0.2922  4 Al 2.70-2.85, 1 Ag 2.84
Al 0.8714 0.4097 0.8475  4 Ag 2.74-2.90, 2 Al 2.89
Al 0.8617 0.8632 0.4133  5 Al 2.77-2.95, 1 Ag 2.98
Al 0.1383 0.1368 0.5867  5 Al 2.77-2.95, 1 Ag 2.98
Al 0.4985 0.7139 0.2891  1 Ag 2.65, 5 Al 2.70-2.95
Ac 0.6935 0.3083 0.3048  9 Al 3.31-3.65, 5 Ag 3.34-3.69
Ac 0.3065 0.6917 0.6952  9 Al 3.31-3.65, 5 Ag 3.34-3.69
Ac 0.0000 0.0000 0.0000  12 Al 3.38-3.76, 4 Ag 3.51
Ag 0.3369 0.3073 0.0188  5 Al 2.65-2.90
Ag 0.6631 0.6927 0.9812  5 Al 2.65-2.90
Ag 0.0000 0.5000 0.5000  4 Al 2.84-2.98

=====

Which of these has the lowest VASP energy?
CrCd2Ni

=====

Please write out number 3 again, unchanged.
Compound: CrCd2Ni
Source: the Alexandria database
Functional: PBE-GGA
Structure: relaxed

Computed properties:
VASP energy	-4.102	eV per atom
total magnetic moment	0.8075	μB per atom
E_form	0.21	eV per atom

Unit cell a=3.0289 b=3.0289 c=7.3506 alpha=90.00 beta=90.00 gamma=90.00
Closest atoms and distances in Å follow each position.
Atoms (fractional coordinates):
Cd 0.0000 0.0000 0.9572  4 Ni 2.78, 1 Cr 3.00, 4 Cd 3.03
Cd 0.5000 0.5000 0.2787  4 Cr 2.92, 8 Cd 3.03-3.19, 1 Ni 3.21
Ni 0.5000 0.5000 0.7150  4 Cr 2.47
Cr 0.0000 0.0000 0.5490  4 Ni 2.47

=====

The highest VASP energy belongs to which entry?
NiHBr3